Compound: Li2Cr3FeO8
Source: Alexandria
Functional: PBE+U
Structure: relaxed

a b c (Å): 5.936 5.936 5.936
angles (deg): 59.93 59.93 59.93
Each line ends with the local moment (μB).
Fractional positions:
Li 0.873 0.873 0.873  0.00
Li 0.127 0.127 0.127  0.00
Cr 0.000 0.500 0.500  2.65
Cr 0.500 0.000 0.500  2.65
Cr 0.500 0.500 0.000  2.65
Fe 0.500 0.500 0.500  4.21
O 0.738 0.738 0.738  -0.03
O 0.740 0.740 0.291  -0.04
O 0.740 0.291 0.740  -0.04
O 0.291 0.740 0.740  -0.04
O 0.709 0.260 0.260  -0.04
O 0.260 0.709 0.260  -0.04
O 0.260 0.260 0.709  -0.04
O 0.262 0.262 0.262  -0.03

The calculation puts the energy above the lowest structure with this stoichiometry at 0.00 kcal/mol of atoms. For the magnetic moment, the calculation gives 12.0 μB/f.u.


Compound: RbPmCo2O6
Source: Alexandria
Functional: PBE+U
Structure: relaxed

a b c (Å): 7.230 7.230 7.546
angles (deg): 100.70 100.70 104.35
Each line ends with the local moment (μB).
Fractional positions:
Rb 0.114 0.886 0.250  0.00
Rb 0.886 0.114 0.750  0.00
Pm 0.564 0.436 0.250  0.06
Pm 0.436 0.564 0.750  0.06
Co 0.412 0.118 0.765  2.17
Co 0.882 0.588 0.735  2.17
Co 0.588 0.882 0.235  2.17
Co 0.118 0.412 0.265  2.17
O 0.897 0.450 0.244  0.21
O 0.550 0.103 0.256  0.21
O 0.103 0.550 0.756  0.21
O 0.450 0.897 0.744  0.21
O 0.200 0.255 0.127  0.24
O 0.745 0.800 0.373  0.24
O 0.800 0.745 0.873  0.24
O 0.255 0.200 0.627  0.24
O 0.333 0.548 0.420  0.18
O 0.452 0.667 0.080  0.18
O 0.667 0.452 0.580  0.18
O 0.548 0.333 0.920  0.18

For the magnetic moment, the calculation gives 6.0 μB/f.u.


Here are the calculated total DFT energy (no corrections) numbers, same order: -6.8882, -6.0146 (eV per atom).